A geometry-optimized RbBaSn2N structure. Source: Alexandria, functional PBE.

Cell and atoms, written as POSCAR:
```
RbBaSn2N
1.0
-1.905 4.530 -1.517
-2.581 0.554 4.896
4.139 2.381 1.912
Ba Sn Rb N
1 2 1 1
Cartesian
-1.291 0.277 2.448
-0.953 2.265 -0.759
2.069 1.191 0.956
-0.174 3.733 2.646
0.000 0.000 0.000
```

Results
- M_tot (μB per cell) = 0.00
- D(E_F) (states/eV per atom) = 0.95
- energy relative to the elements, uncorrected (meV per atom) = 184
- symmetry = P4/mmm, No. 123